Entry 1:
{
  "formula": "TlSiSb2",
  "functional": "PBE-GGA",
  "state": "optimized geometry",
  "lattice_angstrom": [[-4.791, -3.907, -1.228], [1.413, 0.833, 5.963], [-2.592, 1.638, 0.807]],
  "species": ["Sb", "Sb", "Si", "Tl"],
  "frac_coords": [[0.000, 0.000, 0.000], [0.500, 0.000, 0.500], [0.000, 0.500, 0.500], [0.500, 0.500, 0.000]],
  "e_form_raw_ev_per_atom": 0.44,
  "spacegroup": "C2/m (12)"
}

Entry 2:
{
  "formula": "NaB2P2S6",
  "functional": "PBE-GGA",
  "state": "optimized geometry",
  "lattice_angstrom": [[-2.654, -2.781, -4.332], [4.184, -6.986, -1.967], [-11.197, 4.592, 3.945]],
  "species": ["Na", "B", "B", "P", "P", "S", "S", "S", "S", "S", "S"],
  "frac_coords": [[0.500, 0.000, 0.500], [0.849, 0.302, 0.690], [0.151, 0.698, 0.310], [0.142, 0.715, 0.841], [0.858, 0.285, 0.159], [0.445, 0.629, 0.912], [0.076, 0.369, 0.088], [0.059, 0.883, 0.545], [0.924, 0.631, 0.912], [0.941, 0.117, 0.455], [0.555, 0.371, 0.088]],
  "e_form_raw_ev_per_atom": -0.27,
  "spacegroup": "P-1 (2)"
}

Entry 3:
{
  "formula": "DyAsF",
  "functional": "PBE-GGA",
  "state": "optimized geometry",
  "lattice_angstrom": [[-3.074, -0.882, -0.625], [1.065, -2.791, -1.301], [0.713, -0.438, 5.602]],
  "species": ["As", "Dy", "F"],
  "frac_coords": [[0.008, 0.008, 0.015], [0.708, 0.708, 0.415], [0.285, 0.285, 0.570]],
  "e_form_raw_ev_per_atom": -1.88,
  "spacegroup": "I4mm (107)"
}

Entry 4:
{
  "formula": "La2YCd4",
  "functional": "PBE-GGA",
  "state": "optimized geometry",
  "lattice_angstrom": [[5.126, 0.000, 1.601], [2.313, 4.574, 1.601], [-0.115, -0.071, 9.373]],
  "species": ["La", "La", "Y", "Cd", "Cd", "Cd", "Cd"],
  "frac_coords": [[0.752, 0.752, 0.745], [0.248, 0.248, 0.255], [0.000, 0.000, 0.000], [0.875, 0.875, 0.374], [0.125, 0.125, 0.626], [0.625, 0.625, 0.124], [0.375, 0.375, 0.876]],
  "formation_enthalpy_0k_mev_per_atom": -150,
  "spacegroup": "R-3m (166)"
}

Entry 5:
{
  "formula": "Mg3TaCu",
  "functional": "PBE-GGA",
  "state": "optimized geometry",
  "lattice_angstrom": [[4.668, 0.000, 0.000], [0.000, 4.668, 0.000], [0.000, 0.000, 4.668]],
  "species": ["Mg", "Mg", "Mg", "Cu", "Ta"],
  "frac_coords": [[0.000, 0.500, 0.000], [0.000, 0.000, 0.500], [0.500, 0.000, 0.000], [0.000, 0.000, 0.000], [0.500, 0.500, 0.500]],
  "formation_enthalpy_0k_mev_per_atom": 789,
  "spacegroup": "Pm-3m (221)"
}

Entry 6:
{
  "formula": "CuAg2SbF",
  "functional": "PBE-GGA",
  "state": "optimized geometry",
  "lattice_angstrom": [[4.967, 0.000, 0.000], [0.000, 3.825, 0.000], [0.000, 0.000, 4.967]],
  "species": ["Sb", "Cu", "Ag", "Ag", "F"],
  "frac_coords": [[0.500, 0.500, 0.500], [0.000, 0.500, 0.000], [0.000, 0.000, 0.500], [0.500, 0.000, 0.000], [0.000, 0.000, 0.000]],
  "e_form_raw_ev_per_atom": -0.13,
  "spacegroup": "P4/mmm (123)"
}

Entry 7:
{
  "formula": "NaHg2SbS4",
  "functional": "PBE-GGA",
  "state": "optimized geometry",
  "lattice_angstrom": [[6.197, 0.000, 0.000], [0.000, 8.783, 0.000], [0.000, 0.000, 8.372]],
  "species": ["Na", "Na", "Hg", "Hg", "Hg", "Hg", "Sb", "Sb", "S", "S", "S", "S", "S", "S", "S", "S"],
  "frac_coords": [[0.949, 0.138, 0.500], [0.449, 0.862, 0.000], [0.469, 0.346, 0.282], [0.469, 0.346, 0.718], [0.969, 0.654, 0.782], [0.969, 0.654, 0.218], [0.474, 0.789, 0.500], [0.974, 0.211, 0.000], [0.375, 0.208, 0.000], [0.875, 0.792, 0.500], [0.431, 0.157, 0.500], [0.931, 0.843, 0.000], [0.417, 0.633, 0.744], [0.917, 0.367, 0.244], [0.917, 0.367, 0.756], [0.417, 0.633, 0.256]],
  "e_form_raw_ev_per_atom": -0.34,
  "spacegroup": "Pmn2_1 (31)"
}

Entry 8:
{
  "formula": "Ca2SiIr",
  "functional": "PBE-GGA",
  "state": "optimized geometry",
  "lattice_angstrom": [[-3.114, 2.219, -1.379], [0.863, -1.439, -4.264], [-2.769, -4.767, -1.417]],
  "species": ["Ca", "Ca", "Ir", "Si"],
  "frac_coords": [[0.000, 0.979, 0.916], [0.500, 0.268, 0.339], [0.000, 0.680, 0.515], [0.500, 0.573, 0.730]],
  "e_form_raw_ev_per_atom": -0.57,
  "spacegroup": "Amm2 (38)"
}

Record-wise final energy values, in eV per atom: -3.572 -4.841 -5.585 -3.004 -3.358 -3.285 -3.155 -5.145